a | TmNbSnC: relaxed, PBE.

Unit cell a=3.4238 b=3.4238 c=14.6317 alpha=90.00 beta=90.00 gamma=120.00
Fractional positions:
Tm1 0.3333 0.6667 0.4092
Tm2 0.6667 0.3333 0.5908
Nb1 0.3333 0.6667 0.0729
Nb2 0.6667 0.3333 0.9271
Sn1 0.3333 0.6667 0.7694
Sn2 0.6667 0.3333 0.2306
C1 0.0000 0.0000 0.0000
C2 0.0000 0.0000 0.5000

## Properties
volume: 148.5 Å³ per cell
crystal system: trigonal

***

b | TmNbSnC: relaxed, PBE.

Unit cell a=3.3408 b=3.3408 c=14.9450 alpha=90.00 beta=90.00 gamma=120.00
Fractional positions:
Tm1 0.3333 0.6667 0.0000
Tm2 0.6667 0.3333 0.5000
Nb1 0.3333 0.6667 0.6703
Nb2 0.6667 0.3333 0.1703
Sn1 0.3333 0.6667 0.3253
Sn2 0.6667 0.3333 0.8253
C1 0.0000 0.0000 0.0942
C2 0.0000 0.0000 0.5942

## Properties
volume: 144.5 Å³ per cell
crystal system: hexagonal

***

Quick one: least stable of them? a

***

a | NaHfAgS3: relaxed, PBE.

Unit cell a=6.9042 b=6.9042 c=10.0983 alpha=90.00 beta=90.00 gamma=148.50
Fractional positions:
Na1 0.2305 0.7695 0.7500
Na2 0.7695 0.2305 0.2500
Hf1 0.5000 0.5000 0.0000
Hf2 0.5000 0.5000 0.5000
Ag1 0.0668 0.9332 0.2500
Ag2 0.9332 0.0668 0.7500
S1 0.1328 0.8672 0.0260
S2 0.1328 0.8672 0.4740
S3 0.4334 0.5666 0.2500
S4 0.5666 0.4334 0.7500
S5 0.8672 0.1328 0.5260
S6 0.8672 0.1328 0.9740

## Properties
volume: 251.5 Å³ per cell
crystal system: orthorhombic

***

b | NaHfAgS3: relaxed, PBE.

Unit cell a=7.5009 b=3.7587 c=9.3600 alpha=90.00 beta=105.06 gamma=90.00
Fractional positions:
Na1 0.2227 0.2500 0.1907
Na2 0.7773 0.7500 0.8093
Hf1 0.1860 0.7500 0.6576
Hf2 0.8140 0.2500 0.3424
Ag1 0.4349 0.2500 0.8907
Ag2 0.5651 0.7500 0.1093
S1 0.0633 0.7500 0.3669
S2 0.2125 0.7500 0.9341
S3 0.4026 0.2500 0.6240
S4 0.5974 0.7500 0.3760
S5 0.7875 0.2500 0.0659
S6 0.9367 0.2500 0.6331

## Properties
volume: 254.8 Å³ per cell
crystal system: monoclinic

***

Quick one: least stable of them? a

***

a | NaZr: relaxed, PBE.

Unit cell a=6.4446 b=5.2156 c=9.4113 alpha=90.00 beta=100.69 gamma=90.00
Fractional positions:
Na1 0.1414 0.2500 0.0791
Na2 0.3175 0.2500 0.7406
Na3 0.3503 0.7500 0.9232
Na4 0.6497 0.2500 0.0768
Na5 0.6825 0.7500 0.2594
Na6 0.8586 0.7500 0.9209
Zr1 0.0236 0.7500 0.5772
Zr2 0.1957 0.7500 0.3082
Zr3 0.4628 0.2500 0.4289
Zr4 0.5372 0.7500 0.5711
Zr5 0.8043 0.2500 0.6918
Zr6 0.9764 0.2500 0.4228

## Properties
volume: 310.8 Å³ per cell
crystal system: monoclinic

***

b | NaZr: relaxed, PBE.

Unit cell a=5.1970 b=8.9373 c=8.9373 alpha=141.89 beta=90.00 gamma=90.00
Fractional positions:
Na1 0.0000 0.0000 0.0000
Na2 0.0000 0.2069 0.8111
Na3 0.0000 0.8111 0.2069
Na4 0.5000 0.5087 0.9122
Na5 0.5000 0.9122 0.5087
Zr1 0.0000 0.4056 0.5797
Zr2 0.0000 0.5797 0.4056
Zr3 0.5000 0.1534 0.3257
Zr4 0.5000 0.3257 0.1534
Zr5 0.5000 0.6959 0.6959

## Properties
volume: 256.2 Å³ per cell
crystal system: orthorhombic

***

Quick one: least stable of them? b

***

a | Co: relaxed, PBE.

Unit cell a=2.4250 b=2.4250 c=15.2400 alpha=90.00 beta=90.00 gamma=120.00
Fractional positions:
Co1 0.3333 0.6667 0.0636
Co2 0.6667 0.3333 0.9364

## Properties
volume: 77.6 Å³ per cell
crystal system: trigonal

***

b | Co: relaxed, PBE.

Unit cell a=2.8653 b=2.8653 c=2.6351 alpha=90.00 beta=90.00 gamma=90.00
Fractional positions:
Co1 0.0000 0.0000 0.0000
Co2 0.5000 0.5000 0.5000

## Properties
volume: 21.6 Å³ per cell
crystal system: tetragonal

***

Quick one: least stable of them? a

***

a | CdInPd2: relaxed, PBE.

Unit cell a=4.7129 b=4.7129 c=8.0507 alpha=90.00 beta=90.00 gamma=120.00
Fractional positions:
Cd1 0.0000 0.0000 0.2500
Cd2 0.0000 0.0000 0.7500
In1 0.3333 0.6667 0.2500
In2 0.6667 0.3333 0.7500
Pd1 0.3333 0.6667 0.5828
Pd2 0.3333 0.6667 0.9172
Pd3 0.6667 0.3333 0.0828
Pd4 0.6667 0.3333 0.4172

## Properties
volume: 154.9 Å³ per cell
crystal system: hexagonal

***

b | CdInPd2: relaxed, PBE.

Unit cell a=4.5809 b=4.5809 c=8.4394 alpha=90.00 beta=90.00 gamma=120.00
Fractional positions:
Cd1 0.3333 0.6667 0.2500
Cd2 0.6667 0.3333 0.7500
In1 0.0000 0.0000 0.0000
In2 0.0000 0.0000 0.5000
Pd1 0.3333 0.6667 0.5832
Pd2 0.3333 0.6667 0.9168
Pd3 0.6667 0.3333 0.0832
Pd4 0.6667 0.3333 0.4168

## Properties
volume: 153.4 Å³ per cell
crystal system: hexagonal

***

Quick one: least stable of them? a

***

a | Si2Hg2O5: relaxed, PBE.

Unit cell a=3.4347 b=3.4347 c=9.5363 alpha=90.00 beta=90.00 gamma=90.00
Fractional positions:
Si1 0.0000 0.0000 0.1923
Si2 0.0000 0.0000 0.8077
Hg1 0.5000 0.5000 0.0000
Hg2 0.5000 0.5000 0.5000
O1 0.0000 0.0000 0.0000
O2 0.0000 0.5000 0.2137
O3 0.0000 0.5000 0.7863
O4 0.5000 0.0000 0.2137
O5 0.5000 0.0000 0.7863

## Properties
volume: 112.5 Å³ per cell
crystal system: tetragonal

***

b | Si2Hg2O5: relaxed, PBE.

Unit cell a=3.2712 b=3.2712 c=10.3683 alpha=90.00 beta=90.00 gamma=90.00
Fractional positions:
Si1 0.0000 0.0000 0.0000
Si2 0.0000 0.0000 0.5000
Hg1 0.5000 0.5000 0.2313
Hg2 0.5000 0.5000 0.7687
O1 0.0000 0.5000 0.3959
O2 0.0000 0.5000 0.6041
O3 0.5000 0.0000 0.3959
O4 0.5000 0.0000 0.6041
O5 0.5000 0.5000 0.0000

## Properties
volume: 111.0 Å³ per cell
crystal system: tetragonal

***

Quick one: least stable of them? b

***

a | ZrO3: relaxed, PBE.

Unit cell a=5.4466 b=6.0427 c=6.2401 alpha=88.81 beta=86.95 gamma=69.03
Fractional positions:
Zr1 0.0000 0.0000 0.0000
Zr2 0.0362 0.5440 0.6936
Zr3 0.3811 0.0076 0.4900
Zr4 0.7317 0.5248 0.1996
O1 0.1267 0.2281 0.2349
O2 0.1573 0.8525 0.6985
O3 0.3067 0.7409 0.2829
O4 0.4013 0.7813 0.0601
O5 0.4065 0.2240 0.7483
O6 0.4123 0.3547 0.5424
O7 0.6212 0.2250 0.1393
O8 0.7034 0.0200 0.2830
O9 0.7273 0.7008 0.5033
O10 0.8747 0.3341 0.8665
O11 0.9214 0.6936 0.9967
O12 0.9758 0.2596 0.4490

## Properties
volume: 191.5 Å³ per cell
crystal system: triclinic

***

b | ZrO3: relaxed, PBE.

Unit cell a=3.5356 b=5.1390 c=6.0142 alpha=108.31 beta=100.79 gamma=106.79
Fractional positions:
Zr1 0.1356 0.1455 0.2802
Zr2 0.8644 0.8545 0.7198
O1 0.1623 0.5279 0.6179
O2 0.2587 0.2263 0.9951
O3 0.4562 0.0848 0.6161
O4 0.5438 0.9152 0.3839
O5 0.7413 0.7737 0.0049
O6 0.8377 0.4721 0.3821

## Properties
volume: 94.6 Å³ per cell
crystal system: triclinic

***

Quick one: least stable of them? b

***

a | ErPIrO: relaxed, PBE.

Unit cell a=3.9357 b=3.9357 c=7.9532 alpha=90.00 beta=90.00 gamma=90.00
Fractional positions:
Er1 0.2500 0.2500 0.1332
Er2 0.7500 0.7500 0.8668
P1 0.2500 0.2500 0.6661
P2 0.7500 0.7500 0.3339
Ir1 0.2500 0.7500 0.5000
Ir2 0.7500 0.2500 0.5000
O1 0.2500 0.7500 0.0000
O2 0.7500 0.2500 0.0000

## Properties
volume: 123.2 Å³ per cell
crystal system: tetragonal

***

b | ErPIrO: relaxed, PBE.

Unit cell a=3.3748 b=7.4227 c=5.3258 alpha=90.00 beta=90.00 gamma=90.00
Fractional positions:
Er1 0.0000 0.2135 0.0000
Er2 0.0000 0.7865 0.5000
P1 0.0000 0.4184 0.4950
P2 0.0000 0.5816 0.9950
Ir1 0.5000 0.2164 0.4864
Ir2 0.5000 0.7836 0.9864
O1 0.5000 0.0566 0.8986
O2 0.5000 0.9434 0.3986

## Properties
volume: 133.4 Å³ per cell
crystal system: orthorhombic

***

Quick one: least stable of them? b